Version 1
This record from Alexandria describes LaHoTmIn after structural relaxation. The functional is PBE.

Unit cell a=5.5166 b=5.5166 c=5.5166 alpha=60.00 beta=60.00 gamma=60.00
Fractional positions:
1 La 0.0000 0.0000 0.0000
2 Ho 0.7500 0.7500 0.7500
3 Tm 0.5000 0.5000 0.5000
4 In 0.2500 0.2500 0.2500

Computed properties:
Calculated density ... 8.2 Mg/m³
Total magnetic moment ... 0.212 μB per atom



Version 2
This record from Alexandria describes LaHoTmIn after structural relaxation. The functional is PBE.

Unit cell a=5.4631 b=5.4631 c=5.4631 alpha=60.00 beta=60.00 gamma=60.00
Fractional positions:
1 La 0.0000 0.0000 0.0000
2 Ho 0.7500 0.7500 0.7500
3 Tm 0.2500 0.2500 0.2500
4 In 0.5000 0.5000 0.5000

Computed properties:
Calculated density ... 8.5 Mg/m³
Total magnetic moment ... 0.246 μB per atom



Calculated relative energies: version 1 0; version 2 64, given in meV per atom



Version 1
This record from Alexandria describes LaHoZnIn after structural relaxation. The functional is PBE.

Unit cell a=3.7138 b=3.7138 c=7.6796 alpha=90.00 beta=90.00 gamma=90.00
Fractional positions:
1 La 0.0000 0.0000 0.0000
2 Ho 0.0000 0.0000 0.4613
3 Zn 0.5000 0.5000 0.2616
4 In 0.5000 0.5000 0.7108

Computed properties:
Calculated density ... 7.6 Mg/m³
Total magnetic moment ... 0.000 μB per atom



Version 2
This record from Alexandria describes LaHoZnIn after structural relaxation. The functional is PBE.

Unit cell a=5.3456 b=5.3456 c=5.3456 alpha=60.00 beta=60.00 gamma=60.00
Fractional positions:
1 La 0.0000 0.0000 0.0000
2 Ho 0.5000 0.5000 0.5000
3 Zn 0.7500 0.7500 0.7500
4 In 0.2500 0.2500 0.2500

Computed properties:
Calculated density ... 7.4 Mg/m³
Total magnetic moment ... 0.000 μB per atom



Calculated relative energies: version 1 0; version 2 27, given in meV per atom



Version 1
This record from Alexandria describes LiHo4In2 after structural relaxation. The functional is PBE.

Unit cell a=7.0126 b=6.5725 c=8.8673 alpha=90.00 beta=108.56 gamma=90.00
Fractional positions:
1 Li 0.0377 0.2500 0.2590
2 Li 0.9623 0.7500 0.7410
3 Ho 0.1845 0.7500 0.1373
4 Ho 0.3259 0.0064 0.7810
5 Ho 0.3259 0.4936 0.7810
6 Ho 0.4446 0.2500 0.4687
7 Ho 0.5554 0.7500 0.5313
8 Ho 0.6741 0.5064 0.2190
9 Ho 0.6741 0.9936 0.2190
10 Ho 0.8155 0.2500 0.8627
11 In 0.0685 0.7500 0.4606
12 In 0.2751 0.2500 0.0763
13 In 0.7249 0.7500 0.9237
14 In 0.9315 0.2500 0.5394

Computed properties:
Calculated density ... 7.7 Mg/m³
Total magnetic moment ... 0.000 μB per atom



Version 2
This record from Alexandria describes LiHo4In2 after structural relaxation. The functional is PBE.

Unit cell a=8.8637 b=8.8637 c=8.8637 alpha=34.28 beta=34.28 gamma=34.28
Fractional positions:
1 Li 0.0000 0.0000 0.0000
2 Ho 0.1300 0.1300 0.1300
3 Ho 0.3833 0.3833 0.3833
4 Ho 0.6167 0.6167 0.6167
5 Ho 0.8700 0.8700 0.8700
6 In 0.2559 0.2559 0.2559
7 In 0.7441 0.7441 0.7441

Computed properties:
Calculated density ... 7.6 Mg/m³
Total magnetic moment ... 0.002 μB per atom



Calculated relative energies: version 1 56; version 2 0, given in meV per atom